# 1
An optimized crystal structure of V3Cr2Mo6, computed with PBE.

Output
For the volume, the calculation gives 159.0 Å³/cell. The value obtained for the energy of formation is -0.06 eV/atom. Its total DFT energy (no corrections) is -112.3 eV/cell. The symmetry is No. 12.

```
data_V3Cr2Mo6
_chemical_formula_sum 'V3 Cr2 Mo6'
_space_group_name_H-M_alt 'P 1'
_space_group_IT_number 1
_cell_length_a 4.3261
_cell_length_b 2.6849
_cell_length_c 13.8894
_cell_angle_alpha 93.70
_cell_angle_beta 98.96
_cell_angle_gamma 90.00
loop_
_space_group_symop_operation_xyz
'x,y,z'
loop_
_atom_site_label
_atom_site_fract_x
_atom_site_fract_y
_atom_site_fract_z
Mo1 0.3665 0.9028 0.7329
Mo2 0.6335 0.0972 0.2671
V1 0.1793 0.4575 0.3587
Mo3 0.0868 0.7330 0.1735
Cr1 0.4591 0.6258 0.9181
V2 0.0000 0.0000 0.0000
Cr2 0.5409 0.3742 0.0819
Mo4 0.7267 0.8241 0.4533
V3 0.8207 0.5425 0.6413
Mo5 0.2733 0.1759 0.5467
Mo6 0.9132 0.2670 0.8265
```



# 2
An optimized crystal structure of CaCdI2N, computed with PBE.

Output
For the volume, the calculation gives 157.4 Å³/cell. Its energy relative to the lowest polymorph listed for this composition is 0.012 eV per atom. Its total DFT energy (no corrections) is -13.9 eV/cell. The symmetry is No. 123.

```
data_CaCdI2N
_chemical_formula_sum 'Ca1 Cd1 I2 N1'
_space_group_name_H-M_alt 'P 1'
_space_group_IT_number 1
_cell_length_a 6.1500
_cell_length_b 6.1500
_cell_length_c 4.1618
_cell_angle_alpha 90.00
_cell_angle_beta 90.00
_cell_angle_gamma 90.00
loop_
_space_group_symop_operation_xyz
'x,y,z'
loop_
_atom_site_label
_atom_site_fract_x
_atom_site_fract_y
_atom_site_fract_z
Cd1 0.0000 0.0000 0.0000
Ca1 0.5000 0.5000 0.5000
I1 0.5000 0.0000 0.0000
I2 0.0000 0.5000 0.0000
N1 0.0000 0.0000 0.5000
```



# 3
An optimized crystal structure of Sb2PAu2, computed with PBE.

Output
For the volume, the calculation gives 230.6 Å³/cell. Its energy relative to the lowest polymorph listed for this composition is 0.000 eV per atom. Its total DFT energy (no corrections) is -39.9 eV/cell. The symmetry is No. 11.

```
data_Sb2PAu2
_chemical_formula_sum 'Sb4 P2 Au4'
_space_group_name_H-M_alt 'P 1'
_space_group_IT_number 1
_cell_length_a 3.7552
_cell_length_b 5.6528
_cell_length_c 11.0239
_cell_angle_alpha 80.28
_cell_angle_beta 90.00
_cell_angle_gamma 90.00
loop_
_space_group_symop_operation_xyz
'x,y,z'
loop_
_atom_site_label
_atom_site_fract_x
_atom_site_fract_y
_atom_site_fract_z
Sb1 0.2500 0.2910 0.3952
Sb2 0.7500 0.7090 0.6048
P1 0.7500 0.2949 0.2154
Au1 0.2500 0.3520 0.9420
Sb3 0.2500 0.9719 0.1427
Au2 0.7500 0.6480 0.0580
Sb4 0.7500 0.0281 0.8573
P2 0.2500 0.7051 0.7846
Au3 0.2500 0.7836 0.3976
Au4 0.7500 0.2164 0.6024
```



# 4
An optimized crystal structure of PmPu2N4, computed with PBE.

Output
For the volume, the calculation gives 205.3 Å³/cell. Its energy relative to the lowest polymorph listed for this composition is 0.000 eV per atom. Its total DFT energy (no corrections) is -150.2 eV/cell. The symmetry is No. 63.

```
data_PmPu2N4
_chemical_formula_sum 'Pm2 Pu4 N8'
_space_group_name_H-M_alt 'P 1'
_space_group_IT_number 1
_cell_length_a 3.4299
_cell_length_b 5.9322
_cell_length_c 10.5411
_cell_angle_alpha 90.00
_cell_angle_beta 90.00
_cell_angle_gamma 106.80
loop_
_space_group_symop_operation_xyz
'x,y,z'
loop_
_atom_site_label
_atom_site_fract_x
_atom_site_fract_y
_atom_site_fract_z
Pu1 0.8679 0.7358 0.5694
N1 0.0424 0.0849 0.2500
N2 0.5000 0.0000 0.5000
Pm1 0.6068 0.2135 0.7500
Pu2 0.8679 0.7358 0.9306
N3 0.5000 0.0000 0.0000
Pm2 0.3932 0.7865 0.2500
Pu3 0.1321 0.2642 0.0694
N4 0.7717 0.5434 0.1050
N5 0.2283 0.4566 0.8950
Pu4 0.1321 0.2642 0.4306
N6 0.2283 0.4566 0.6050
N7 0.7717 0.5434 0.3950
N8 0.9576 0.9151 0.7500
```



| no. | ρ (Mg/m³) |
| --- | --- |
| 1 | 8.69 |
| 2 | 4.43 |
| 3 | 9.62 |
| 4 | 11.15 |